{
  "formula": "ErLuMg2Au4",
  "functional": "PBE-GGA",
  "state": "optimized geometry",
  "lattice_angstrom": [[4.830, 0.000, 0.000], [0.000, 4.830, 0.000], [0.000, 0.000, 6.833]],
  "species": ["Au", "Au", "Au", "Au", "Lu", "Er", "Mg", "Mg"],
  "frac_coords": [[0.500, 0.000, 0.747], [0.000, 0.500, 0.747], [0.500, 0.000, 0.253], [0.000, 0.500, 0.253], [0.500, 0.500, 0.500], [0.000, 0.000, 0.000], [0.000, 0.000, 0.500], [0.500, 0.500, 0.000]],
  "energy_ev_per_atom": -3.946,
  "space_group": "P4/mmm (123)",
  "density_g_cm3": 12.28
}